Record 1
A relaxed LiSnAu crystal, computed with GGA-PBE.

a = 4.755 Å, b = 4.755 Å, c = 6.049 Å
α = 90.00°, β = 90.00°, γ = 120.00°
Element x y z (fractional)
Au 0.333 0.667 0.004
Au 0.667 0.333 0.504
Li 0.000 0.000 0.246
Li 0.000 0.000 0.746
Sn 0.333 0.667 0.499
Sn 0.667 0.333 0.999

Calculated values
**Crystal system**: hexagonal
**Energy relative to the lowest polymorph listed for this composition**: 0.0029 eV/atom



Record 2
A relaxed CsAgSnS3 crystal, computed with GGA-PBE.

a = 8.925 Å, b = 4.017 Å, c = 9.977 Å
α = 90.00°, β = 111.34°, γ = 90.00°
Element x y z (fractional)
Ag 0.055 0.250 0.099
Ag 0.945 0.750 0.901
Cs 0.761 0.750 0.218
Cs 0.239 0.250 0.782
S 0.248 0.750 0.087
S 0.537 0.250 0.368
S 0.137 0.250 0.371
S 0.863 0.750 0.629
S 0.463 0.750 0.632
S 0.752 0.250 0.913
Sn 0.327 0.750 0.358
Sn 0.673 0.250 0.642

Calculated values
**Crystal system**: monoclinic
**Energy relative to the lowest polymorph listed for this composition**: 0.0020 eV/atom



Record 3
A relaxed Cu5PSe4Br2 crystal, computed with GGA-PBE.

a = 7.321 Å, b = 6.327 Å, c = 6.327 Å
α = 122.98°, β = 90.00°, γ = 90.00°
Element x y z (fractional)
Br 0.500 0.949 0.281
Br 0.500 0.281 0.949
Cu 0.213 0.695 0.060
Cu 0.787 0.695 0.060
Cu 0.500 0.403 0.403
Cu 0.213 0.060 0.695
Cu 0.787 0.060 0.695
P 0.000 0.457 0.457
Se 0.000 0.402 0.063
Se 0.000 0.063 0.402
Se 0.255 0.670 0.670
Se 0.745 0.670 0.670

Calculated values
**Raw total energy**: -3.584 eV/atom
**Crystal system**: orthorhombic



Number 1: mass density 9.05 Mg/m³, V 19.7 Å³ per atom. Number 2: mass density 4.54 Mg/m³, V 27.8 Å³ per atom. Number 3: mass density 5.57 Mg/m³, V 20.5 Å³ per atom.